(1)
First-principles (PBE) data for crystalline K2BePS4 at its relaxed geometry, as listed in Alexandria.

```
data_K2BePS4
_cell_length_a 5.4783
_cell_length_b 13.2248
_cell_length_c 22.8424
_cell_angle_alpha 90.00
_cell_angle_beta 90.00
_cell_angle_gamma 90.00
_symmetry_space_group_name_H-M 'F d d d'
_symmetry_Int_Tables_number 70
loop_
_symmetry_equiv_pos_as_xyz
'x,y,z'
'-x,-y,-z'
'-x+1/4,-y+1/4,z'
'x+1/4,y+1/4,-z'
'x,-y+1/4,-z+1/4'
'-x,y+1/4,z+1/4'
'-x+1/4,y,-z+1/4'
'x+1/4,-y,z+1/4'
'x,y+1/2,z+1/2'
'-x,-y+1/2,-z+1/2'
'-x+1/4,-y+3/4,z+1/2'
'x+1/4,y+3/4,-z+1/2'
'x,-y+3/4,-z+3/4'
'-x,y+3/4,z+3/4'
'-x+1/4,y+1/2,-z+3/4'
'x+1/4,-y+1/2,z+3/4'
'x+1/2,y,z+1/2'
'-x+1/2,-y,-z+1/2'
'-x+3/4,-y+1/4,z+1/2'
'x+3/4,y+1/4,-z+1/2'
'x+1/2,-y+1/4,-z+3/4'
'-x+1/2,y+1/4,z+3/4'
'-x+3/4,y,-z+3/4'
'x+3/4,-y,z+3/4'
'x+1/2,y+1/2,z'
'-x+1/2,-y+1/2,-z'
'-x+3/4,-y+3/4,z'
'x+3/4,y+3/4,-z'
'x+1/2,-y+3/4,-z+1/4'
'-x+1/2,y+3/4,z+1/4'
'-x+3/4,y+1/2,-z+1/4'
'x+3/4,-y+1/2,z+1/4'
loop_
_atom_site_label
_atom_site_type_symbol
_atom_site_fract_x
_atom_site_fract_y
_atom_site_fract_z
_atom_site_occupancy
K1 K 0.1250 0.1250 0.3032 1
Be1 Be 0.1250 0.1250 0.1250 1
P1 P 0.1250 0.1250 0.6250 1
S1 S 0.1183 0.2855 0.4251 1
```

Properties
E_tot, eV per atom: -4.256
Formation energy (no corrections), kJ/mol of formula units: -599
Theoretical density, g cm⁻³: 2.0

(2)
First-principles (PBE) data for crystalline KBeP2S at its relaxed geometry, as listed in Alexandria.

```
data_KBeP2S
_cell_length_a 4.3620
_cell_length_b 4.3620
_cell_length_c 5.0378
_cell_angle_alpha 90.00
_cell_angle_beta 90.00
_cell_angle_gamma 90.00
_symmetry_space_group_name_H-M 'P 4/m m m'
_symmetry_Int_Tables_number 123
_symmetry_space_group_name_Hall '-P 4 2'
loop_
_atom_site_label
_atom_site_type_symbol
_atom_site_fract_x
_atom_site_fract_y
_atom_site_fract_z
_atom_site_occupancy
K1 K 0.0000 0.0000 0.0000 1
Be1 Be 0.5000 0.5000 0.5000 1
P1 P 0.0000 0.5000 0.5000 1
S1 S 0.5000 0.5000 0.0000 1
```

Properties
E_tot, eV per atom: -3.694
Formation energy (no corrections), kJ/mol of formula units: 126
Theoretical density, g cm⁻³: 2.5

(3)
First-principles (PBE) data for crystalline KBePS2 at its relaxed geometry, as listed in Alexandria.

```
data_KBePS2
_cell_length_a 4.7705
_cell_length_b 4.7705
_cell_length_c 4.2088
_cell_angle_alpha 90.00
_cell_angle_beta 90.00
_cell_angle_gamma 90.00
_symmetry_space_group_name_H-M 'P 4/m m m'
_symmetry_Int_Tables_number 123
_symmetry_space_group_name_Hall '-P 4 2'
loop_
_atom_site_label
_atom_site_type_symbol
_atom_site_fract_x
_atom_site_fract_y
_atom_site_fract_z
_atom_site_occupancy
K1 K 0.0000 0.0000 0.0000 1
Be1 Be 0.5000 0.5000 0.5000 1
P1 P 0.5000 0.5000 0.0000 1
S1 S 0.0000 0.5000 0.5000 1
```

Properties
E_tot, eV per atom: -3.652
Formation energy (no corrections), kJ/mol of formula units: 22
Theoretical density, g cm⁻³: 2.5

(4)
First-principles (PBE) data for crystalline K2BePSe4 at its relaxed geometry, as listed in Alexandria.

```
data_K2BePSe4
_cell_length_a 7.2045
_cell_length_b 7.2045
_cell_length_c 8.4015
_cell_angle_alpha 90.00
_cell_angle_beta 90.00
_cell_angle_gamma 90.00
_symmetry_space_group_name_H-M 'I -4'
_symmetry_Int_Tables_number 82
loop_
_symmetry_equiv_pos_as_xyz
'x,y,z'
'y,-x,-z'
'-x,-y,z'
'-y,x,-z'
'x+1/2,y+1/2,z+1/2'
'y+1/2,-x+1/2,-z+1/2'
'-x+1/2,-y+1/2,z+1/2'
'-y+1/2,x+1/2,-z+1/2'
loop_
_atom_site_label
_atom_site_type_symbol
_atom_site_fract_x
_atom_site_fract_y
_atom_site_fract_z
_atom_site_occupancy
K1 K 0.0000 0.0000 0.0000 1
K2 K 0.0000 0.5000 0.2500 1
Be1 Be 0.0000 0.0000 0.5000 1
P1 P 0.0000 0.5000 0.7500 1
Se1 Se 0.1443 0.7544 0.6108 1
```

Properties
E_tot, eV per atom: -3.795
Formation energy (no corrections), kJ/mol of formula units: -491
Theoretical density, g cm⁻³: 3.3

(5)
First-principles (PBE) data for crystalline K2BeTlP2 at its relaxed geometry, as listed in Alexandria.

```
data_K2BeTlP2
_cell_length_a 6.8054
_cell_length_b 14.3327
_cell_length_c 6.2901
_cell_angle_alpha 90.00
_cell_angle_beta 90.00
_cell_angle_gamma 90.00
_symmetry_space_group_name_H-M 'I b a m'
_symmetry_Int_Tables_number 72
_symmetry_space_group_name_Hall '-I 2 2c'
loop_
_atom_site_label
_atom_site_type_symbol
_atom_site_fract_x
_atom_site_fract_y
_atom_site_fract_z
_atom_site_occupancy
K1 K 0.2338 0.1750 0.0000 1
Be1 Be 0.0000 0.0000 0.2500 1
Tl1 Tl 0.0000 0.5000 0.2500 1
P1 P 0.1823 0.0846 0.5000 1
```

Properties
E_tot, eV per atom: -3.347
Calculated formation energy, meV per atom: -162
Theoretical density, g cm⁻³: 3.8

(6)
First-principles (PBE) data for crystalline KBe2ZnP at its relaxed geometry, as listed in Alexandria.

```
data_KBe2ZnP
_cell_length_a 4.2327
_cell_length_b 4.2327
_cell_length_c 6.1841
_cell_angle_alpha 90.00
_cell_angle_beta 90.00
_cell_angle_gamma 90.00
_symmetry_space_group_name_H-M 'P 4/m m m'
_symmetry_Int_Tables_number 123
_symmetry_space_group_name_Hall '-P 4 2'
loop_
_atom_site_label
_atom_site_type_symbol
_atom_site_fract_x
_atom_site_fract_y
_atom_site_fract_z
_atom_site_occupancy
K1 K 0.0000 0.0000 0.0000 1
Be1 Be 0.0000 0.5000 0.5000 1
Zn1 Zn 0.5000 0.5000 0.0000 1
P1 P 0.0000 0.0000 0.5000 1
```

Properties
E_tot, eV per atom: -2.440
Calculated formation energy, meV per atom: 607
Theoretical density, g cm⁻³: 2.3

(7)
First-principles (PBE) data for crystalline KPaBeS4 at its relaxed geometry, as listed in Alexandria.

```
data_KPaBeS4
_cell_length_a 6.1824
_cell_length_b 6.3666
_cell_length_c 8.7631
_cell_angle_alpha 90.00
_cell_angle_beta 108.71
_cell_angle_gamma 90.00
_symmetry_space_group_name_H-M 'P 1 21/m 1'
_symmetry_Int_Tables_number 11
loop_
_symmetry_equiv_pos_as_xyz
'x,y,z'
'-x,-y,-z'
'-x,y+1/2,-z'
'x,-y+1/2,z'
loop_
_atom_site_label
_atom_site_type_symbol
_atom_site_fract_x
_atom_site_fract_y
_atom_site_fract_z
_atom_site_occupancy
K1 K 0.2382 0.2500 0.4427 1
Pa1 Pa 0.2603 0.2500 0.9432 1
Be1 Be 0.2778 0.7500 0.1627 1
S1 S 0.0648 0.7500 0.9231 1
S2 S 0.0877 0.7500 0.3208 1
S3 S 0.4919 0.5035 0.7999 1
```

Properties
E_tot, eV per atom: -5.795
Formation energy (no corrections), kJ/mol of formula units: -940
Theoretical density, g cm⁻³: 4.1

(8)
First-principles (PBE) data for crystalline K2PaBeS5 at its relaxed geometry, as listed in Alexandria.

```
data_K2PaBeS5
_cell_length_a 3.9836
_cell_length_b 18.8076
_cell_length_c 13.4026
_cell_angle_alpha 90.00
_cell_angle_beta 90.00
_cell_angle_gamma 90.00
_symmetry_space_group_name_H-M 'C m c 21'
_symmetry_Int_Tables_number 36
loop_
_symmetry_equiv_pos_as_xyz
'x,y,z'
'-x,-y,z+1/2'
'-x,y,z'
'x,-y,z+1/2'
'x+1/2,y+1/2,z'
'-x+1/2,-y+1/2,z+1/2'
'-x+1/2,y+1/2,z'
'x+1/2,-y+1/2,z+1/2'
loop_
_atom_site_label
_atom_site_type_symbol
_atom_site_fract_x
_atom_site_fract_y
_atom_site_fract_z
_atom_site_occupancy
K1 K 0.0000 0.1225 0.0000 1
K2 K 0.0000 0.1229 0.3461 1
Pa1 Pa 0.0000 0.1980 0.6843 1
Be1 Be 0.0000 0.4230 0.0795 1
S1 S 0.0000 0.0564 0.6549 1
S2 S 0.0000 0.3100 0.3145 1
S3 S 0.0000 0.3118 0.0468 1
S4 S 0.0000 0.3299 0.6743 1
S5 S 0.0000 0.4890 0.9619 1
```

Properties
E_tot, eV per atom: -5.185
Formation energy (no corrections), kJ/mol of formula units: -1024
Theoretical density, g cm⁻³: 3.2

(9)
First-principles (PBE) data for crystalline K2PaBeSe5 at its relaxed geometry, as listed in Alexandria.

```
data_K2PaBeSe5
_cell_length_a 4.0361
_cell_length_b 19.9518
_cell_length_c 14.0115
_cell_angle_alpha 90.00
_cell_angle_beta 90.00
_cell_angle_gamma 90.00
_symmetry_space_group_name_H-M 'C m c 21'
_symmetry_Int_Tables_number 36
loop_
_symmetry_equiv_pos_as_xyz
'x,y,z'
'-x,-y,z+1/2'
'-x,y,z'
'x,-y,z+1/2'
'x+1/2,y+1/2,z'
'-x+1/2,-y+1/2,z+1/2'
'-x+1/2,y+1/2,z'
'x+1/2,-y+1/2,z+1/2'
loop_
_atom_site_label
_atom_site_type_symbol
_atom_site_fract_x
_atom_site_fract_y
_atom_site_fract_z
_atom_site_occupancy
K1 K 0.0000 0.1195 0.0000 1
K2 K 0.0000 0.1231 0.3523 1
Pa1 Pa 0.0000 0.2002 0.6852 1
Be1 Be 0.0000 0.4211 0.0877 1
Se1 Se 0.0000 0.0597 0.6721 1
Se2 Se 0.0000 0.3084 0.3213 1
Se3 Se 0.0000 0.3096 0.0436 1
Se4 Se 0.0000 0.3331 0.6770 1
Se5 Se 0.0000 0.4874 0.9660 1
```

Properties
E_tot, eV per atom: -4.710
Formation energy (no corrections), kJ/mol of formula units: -922
Theoretical density, g cm⁻³: 4.2

(10)
First-principles (PBE) data for crystalline KBePb2 at its relaxed geometry, as listed in Alexandria.

```
data_KBePb2
_cell_length_a 4.1731
_cell_length_b 4.2537
_cell_length_c 7.3444
_cell_angle_alpha 90.00
_cell_angle_beta 104.68
_cell_angle_gamma 90.00
_symmetry_space_group_name_H-M 'P 1 2/m 1'
_symmetry_Int_Tables_number 10
loop_
_symmetry_equiv_pos_as_xyz
'x,y,z'
'-x,-y,-z'
'-x,y,-z'
'x,-y,z'
loop_
_atom_site_label
_atom_site_type_symbol
_atom_site_fract_x
_atom_site_fract_y
_atom_site_fract_z
_atom_site_occupancy
K1 K 0.0000 0.0000 0.0000 1
Be1 Be 0.5000 0.0000 0.5000 1
Pb1 Pb 0.3296 0.5000 0.6662 1
```

Properties
E_tot, eV per atom: -2.861
Calculated formation energy, meV per atom: 199
Theoretical density, g cm⁻³: 6.1

(11)
First-principles (PBE) data for crystalline KBePb at its relaxed geometry, as listed in Alexandria.

```
data_KBePb
_cell_length_a 4.3615
_cell_length_b 4.3615
_cell_length_c 5.6027
_cell_angle_alpha 90.00
_cell_angle_beta 90.00
_cell_angle_gamma 120.00
_symmetry_space_group_name_H-M 'P 3 m 1'
_symmetry_Int_Tables_number 156
loop_
_symmetry_equiv_pos_as_xyz
'x,y,z'
'-y,x-y,z'
'-x+y,-x,z'
'-y,-x,z'
'-x+y,y,z'
'x,x-y,z'
loop_
_atom_site_label
_atom_site_type_symbol
_atom_site_fract_x
_atom_site_fract_y
_atom_site_fract_z
_atom_site_occupancy
K1 K 0.0000 0.0000 0.0000 1
Be1 Be 0.3333 0.6667 0.4988 1
Pb1 Pb 0.6667 0.3333 0.4997 1
```

Properties
E_tot, eV per atom: -2.551
Calculated formation energy, meV per atom: 293
Theoretical density, g cm⁻³: 4.6

(12)
First-principles (PBE) data for crystalline KBePb2 at its relaxed geometry, as listed in Alexandria.

```
data_KBePb2
_cell_length_a 3.4118
_cell_length_b 6.4033
_cell_length_c 10.8547
_cell_angle_alpha 90.00
_cell_angle_beta 90.00
_cell_angle_gamma 90.00
_symmetry_space_group_name_H-M 'I m m m'
_symmetry_Int_Tables_number 71
_symmetry_space_group_name_Hall '-I 2 2'
loop_
_atom_site_label
_atom_site_type_symbol
_atom_site_fract_x
_atom_site_fract_y
_atom_site_fract_z
_atom_site_occupancy
K1 K 0.0000 0.0000 0.0000 1
Be1 Be 0.0000 0.0000 0.5000 1
Pb1 Pb 0.0000 0.5000 0.1907 1
```

Properties
E_tot, eV per atom: -2.768
Calculated formation energy, meV per atom: 292
Theoretical density, g cm⁻³: 6.5

(13)
First-principles (PBE) data for crystalline KBePb2 at its relaxed geometry, as listed in Alexandria.

```
data_KBePb2
_cell_length_a 7.3625
_cell_length_b 4.2480
_cell_length_c 8.1969
_cell_angle_alpha 90.00
_cell_angle_beta 107.41
_cell_angle_gamma 90.00
_symmetry_space_group_name_H-M 'C 1 m 1'
_symmetry_Int_Tables_number 8
loop_
_symmetry_equiv_pos_as_xyz
'x,y,z'
'x,-y,z'
'x+1/2,y+1/2,z'
'x+1/2,-y+1/2,z'
loop_
_atom_site_label
_atom_site_type_symbol
_atom_site_fract_x
_atom_site_fract_y
_atom_site_fract_z
_atom_site_occupancy
K1 K 0.0000 0.0000 0.0000 1
Be1 Be 0.1708 0.0000 0.5111 1
Pb1 Pb 0.0537 0.5000 0.6575 1
Pb2 Pb 0.2851 0.5000 0.3574 1
```

Properties
E_tot, eV per atom: -2.891
Calculated formation energy, meV per atom: 170
Theoretical density, g cm⁻³: 6.3